1.
PBE-GGA AcTb2CeS4, optimized geometry; formation energy (no corrections) = -2.00 eV per atom; spin magnetization = 0.94 Bohr magnetons per cell; density of states at the Fermi level = 1.010 states/eV/atom; final energy = -51.8 eV for the cell shown
1.0
6.984 0.000 0.000
0.000 4.009 0.000
-2.307 0.000 6.721
Ac Tb Ce S
1 2 1 4
direct
0.000 0.000 0.000
0.000 0.500 0.500
0.500 0.000 0.500
0.500 0.500 0.000
0.251 0.000 0.733
0.265 0.500 0.273
0.735 0.500 0.727
0.749 0.000 0.267



2.
PBE-GGA CsPmCoCl6, optimized geometry; formation energy (no corrections) = -1.64 eV per atom; spin magnetization = 3.00 Bohr magnetons per cell; density of states at the Fermi level = 0.093 states/eV/atom; final energy = -38.6 eV for the cell shown
1.0
3.410 -5.922 0.000
3.410 5.922 0.000
-0.029 0.000 7.763
Cs Pm Co Cl
1 1 1 6
direct
0.000 0.000 0.000
0.666 0.334 0.500
0.333 0.667 0.500
0.028 0.390 0.690
0.029 0.637 0.310
0.363 0.971 0.690
0.369 0.397 0.306
0.603 0.631 0.694
0.610 0.972 0.310



3.
PBE-GGA InRuAu2, optimized geometry; spin magnetization = 0.01 Bohr magnetons per cell; energy of formation = 0.07 eV/atom; density of states at the Fermi level = 0.762 states/eV/atom; final energy = -18.3 eV for the cell shown
1.0
4.041 0.000 0.000
0.000 4.041 0.000
0.000 0.000 4.291
In Ru Au
1 1 2
direct
0.000 0.000 0.000
0.500 0.500 0.000
0.000 0.500 0.500
0.500 0.000 0.500



4.
PBE-GGA LaCd4Ge2, optimized geometry; spin magnetization = 0.00 Bohr magnetons per cell; energy of formation = -0.28 eV/atom; density of states at the Fermi level = 0.323 states/eV/atom; final energy = -19.8 eV for the cell shown
1.0
4.382 0.000 0.000
0.000 4.362 0.000
-2.110 0.000 8.392
La Cd Ge
1 4 2
direct
0.000 0.000 0.000
0.182 0.500 0.362
0.313 0.000 0.631
0.687 0.000 0.369
0.818 0.500 0.638
0.422 0.500 0.850
0.578 0.500 0.150



5.
PBE-GGA La2ScH12Rh3, optimized geometry; spin magnetization = 0.70 Bohr magnetons per cell; density of states at the Fermi level = 0.363 states/eV/atom; final energy = -85.8 eV for the cell shown
1.0
3.283 1.895 4.686
-3.283 1.895 4.686
0.000 -3.791 4.686
La Sc H Rh
2 1 12 3
direct
0.119 0.119 0.119
0.881 0.881 0.881
0.500 0.500 0.500
0.117 0.622 0.622
0.197 0.197 0.617
0.197 0.617 0.197
0.378 0.378 0.883
0.378 0.883 0.378
0.383 0.803 0.803
0.617 0.197 0.197
0.622 0.117 0.622
0.622 0.622 0.117
0.803 0.383 0.803
0.803 0.803 0.383
0.883 0.378 0.378
0.000 0.500 0.500
0.500 0.000 0.500
0.500 0.500 0.000



6.
PBE-GGA PmThGe4, optimized geometry; spin magnetization = 0.00 Bohr magnetons per cell; energy of formation = -0.32 eV/atom; density of states at the Fermi level = 0.798 states/eV/atom; final energy = -32.6 eV for the cell shown
1.0
0.000 4.027 4.027
4.027 0.000 4.027
4.027 4.027 0.000
Pm Th Ge
1 1 4
direct
0.000 0.000 0.000
0.250 0.250 0.250
0.123 0.626 0.626
0.626 0.123 0.626
0.626 0.626 0.123
0.626 0.626 0.626



Q: final energy of number 6 (PmThGe4)?
A: -32.6 eV for the cell shown